{
  "formula": "K2FeIO6",
  "functional": "PBE with a Hubbard U",
  "state": "optimized geometry",
  "volume_a3_per_cell": 125.7,
  "m_tot_mub_per_fu": 5.0,
  "crystal_system": "cubic",
  "e_tot_ev_per_atom": -4.94,
  "cell": [[0.0000, 3.9762, 3.9762], [3.9762, 0.0000, 3.9762], [3.9762, 3.9762, 0.0000]],
  "species": ["K", "K", "Fe", "I", "O", "O", "O", "O", "O", "O"],
  "fractional_positions": [[0.2500, 0.2500, 0.2500], [0.7500, 0.7500, 0.7500], [0.0000, 0.0000, 0.0000], [0.5000, 0.5000, 0.5000], [0.2599, 0.2599, 0.7401], [0.2599, 0.7401, 0.2599], [0.2599, 0.7401, 0.7401], [0.7401, 0.2599, 0.2599], [0.7401, 0.2599, 0.7401], [0.7401, 0.7401, 0.2599]]
}